VASP calculation (GGA+U) on a geometry-optimized TeMoNF2 structure.

## Properties
The calculation puts the energy above the most stable polymorph in this dataset at 0.0 meV/atom. The value obtained for the total magnetization is 3.39 μB per formula unit. For the density of states at the Fermi level, the calculation gives 1.70 states/eV/cell. Its volume is 77.3 Å³/cell.

Geometry as extended XYZ:
```
5
Lattice="-2.6276 -2.0318 2.6289 3.3207 -1.7189 1.9906 0.1139 3.3522 2.7046" Properties=species:S:1:pos:R:3 pbc="T T T"
F -1.3138 -1.0159 1.3145
Te 0.4035 -0.1993 3.6621
Mo 0.0000 0.0000 0.0000
N 0.0570 1.6761 1.3523
F 1.6603 -0.8595 0.9953
```